DFT (meta-GGA SCAN) results for a PBEsol-optimized structure of TaFeHg3.

Results
Formation enthalpy at 0 K ... 1372 meV/atom
E_tot ... -2.07525 hartree per atom
Crystal system ... cubic

Lattice parameters (Å, degrees): 5.2314 5.2314 5.2314 90.00 90.00 90.00
Closest atoms and distances in Å follow each position.
Space group Pm-3m (No. 221)
One atom of each set of equivalent atoms:
Ta 0.0000 0.0000 0.0000  6 Hg 2.62
Fe 0.5000 0.5000 0.5000  12 Hg 3.70
Hg 0.0000 0.0000 0.5000  2 Ta 2.62